Entry from Alexandria: Tl3VF after structural relaxation (GGA+U).

## Properties
Density of states at the Fermi level (states/eV per cell): 4.39
Space-group type: No. 221
VASP energy (eV per formula unit): -16.29

Lattice parameters (Å, degrees): 5.1314 5.1314 5.1314 90.00 90.00 90.00
Last column: nearest neighbours and their distance in Å.
Sites, in units of the cell vectors:
Tl  0.0000  0.5000  0.0000  2 F 2.57
Tl  0.0000  0.0000  0.5000  2 F 2.57
Tl  0.5000  0.0000  0.0000  2 F 2.57
F  0.0000  0.0000  0.0000  6 Tl 2.57
V  0.5000  0.5000  0.5000  12 Tl 3.63